(1)
DFT (SCAN) results for LiCu3F10 at its PBEsol-relaxed geometry.

## Properties
Uncorrected formation energy, eV/atom: -1.705
Mass density, Mg/m³: 3.52

a = 3.7381 Å, b = 6.9609 Å, c = 14.0873 Å
α = 90.00°, β = 93.53°, γ = 90.00°
Atoms (fractional coordinates):
Li: 0.6014 0.2594 0.4058
Li: 0.6014 0.7406 0.9058
Cu: 0.0043 0.1299 0.0324
Cu: 0.0403 0.0283 0.2866
Cu: 0.9829 0.6217 0.1214
Cu: 0.0043 0.8701 0.5324
Cu: 0.0403 0.9717 0.7866
Cu: 0.9829 0.3783 0.6214
F: 0.0781 0.2544 0.3582
F: 0.0295 0.1343 0.1623
F: 0.0124 0.8012 0.2233
F: 0.9745 0.4134 0.0318
F: 0.9487 0.8130 0.0292
F: 0.0057 0.4612 0.2178
F: 0.0781 0.7456 0.8582
F: 0.0074 0.8813 0.4022
F: 0.0295 0.8657 0.6623
F: 0.0124 0.1988 0.7233
F: 0.9745 0.5866 0.5318
F: 0.9487 0.1870 0.5292
F: 0.0057 0.5388 0.7178
F: 0.0074 0.1187 0.9022
F: 0.5032 0.1112 0.0312
F: 0.5419 0.0472 0.2944
F: 0.4816 0.6260 0.1139
F: 0.5032 0.8888 0.5312
F: 0.5419 0.9528 0.7944
F: 0.4816 0.3740 0.6139

---

(2)
DFT (SCAN) results for Li2CuF5 at its PBEsol-relaxed geometry.

## Properties
Uncorrected formation energy, eV/atom: -2.369
Mass density, Mg/m³: 3.26

a = 2.8801 Å, b = 7.1427 Å, c = 8.5298 Å
α = 90.00°, β = 90.00°, γ = 90.00°
Atoms (fractional coordinates):
Li: 0.0000 0.9386 0.8578
Li: 0.0000 0.4386 0.6422
Li: 0.0000 0.5614 0.3578
Li: 0.0000 0.0614 0.1422
Cu: 0.5000 0.5000 0.0000
Cu: 0.5000 0.0000 0.5000
F: 0.5000 0.0000 0.0000
F: 0.0000 0.6669 0.9449
F: 0.5000 0.4100 0.7945
F: 0.5000 0.9100 0.7055
F: 0.0000 0.1669 0.5551
F: 0.5000 0.5000 0.5000
F: 0.0000 0.8331 0.4449
F: 0.5000 0.0900 0.2945
F: 0.5000 0.5900 0.2055
F: 0.0000 0.3331 0.0551

---

(3)
DFT (SCAN) results for Li5CuF8 at its PBEsol-relaxed geometry.

## Properties
Uncorrected formation energy, eV/atom: -2.727
Mass density, Mg/m³: 3.08
E above lowest polymorph, eV/atom: 0.0182

a = 4.9774 Å, b = 4.9774 Å, c = 5.8012 Å
α = 90.00°, β = 90.00°, γ = 110.26°
Atoms (fractional coordinates):
Li: 0.0000 0.5000 0.2294
Li: 0.0000 0.5000 0.7706
Li: 0.5000 0.5000 0.0000
Li: 0.5000 0.0000 0.2294
Li: 0.5000 0.0000 0.7706
Cu: 0.5000 0.5000 0.5000
F: 0.2642 0.7358 0.0000
F: 0.2670 0.7330 0.5000
F: 0.2727 0.2727 0.2617
F: 0.2727 0.2727 0.7383
F: 0.7273 0.7273 0.2617
F: 0.7273 0.7273 0.7383
F: 0.7330 0.2670 0.5000
F: 0.7358 0.2642 0.0000

---

(4)
DFT (SCAN) results for LiCu3F7 at its PBEsol-relaxed geometry.

## Properties
Uncorrected formation energy, eV/atom: -2.012
Mass density, Mg/m³: 4.38

a = 6.8420 Å, b = 6.8219 Å, c = 6.8219 Å
α = 116.09°, β = 114.20°, γ = 65.80°
Atoms (fractional coordinates):
Li: 0.0000 0.5000 0.5000
Li: 0.5000 0.5000 0.5000
Cu: 0.0000 0.5000 0.0000
Cu: 0.5000 0.5000 0.0000
Cu: 0.0000 0.0000 0.0000
Cu: 0.5000 0.0000 0.0000
Cu: 0.0000 0.0000 0.5000
Cu: 0.5000 0.0000 0.5000
F: 0.3073 0.3557 0.9988
F: 0.0077 0.3075 0.1366
F: 0.0942 0.6827 0.4044
F: 0.5077 0.8634 0.6925
F: 0.7500 0.1060 0.1060
F: 0.5942 0.5956 0.3173
F: 0.8073 0.0012 0.6443
F: 0.1927 0.9988 0.3557
F: 0.4058 0.4044 0.6827
F: 0.2500 0.8940 0.8940
F: 0.4923 0.1366 0.3075
F: 0.9058 0.3173 0.5956
F: 0.9923 0.6925 0.8634
F: 0.6927 0.6443 0.0012

---

(5)
DFT (SCAN) results for Li2Cu3F7 at its PBEsol-relaxed geometry.

## Properties
Uncorrected formation energy, eV/atom: -2.034
Mass density, Mg/m³: 3.39

a = 2.9968 Å, b = 10.1018 Å, c = 10.9088 Å
α = 90.00°, β = 90.00°, γ = 90.00°
Atoms (fractional coordinates):
F: 0.5000 0.5000 0.0000
F: 0.5000 0.6208 0.4778
F: 0.5000 0.6138 0.2174
F: 0.0000 0.6610 0.8345
F: 0.0000 0.8390 0.3345
F: 0.5000 0.8862 0.7174
F: 0.5000 0.8792 0.9778
F: 0.5000 0.0000 0.5000
F: 0.5000 0.1208 0.0222
F: 0.5000 0.1138 0.2826
F: 0.0000 0.1610 0.6655
F: 0.0000 0.3390 0.1655
F: 0.5000 0.3862 0.7826
F: 0.5000 0.3792 0.5222
Cu: 0.0000 0.5000 0.5000
Cu: 0.0000 0.5323 0.1315
Cu: 0.0000 0.9677 0.6315
Cu: 0.0000 0.0000 0.0000
Cu: 0.0000 0.0323 0.3685
Cu: 0.0000 0.4677 0.8685
Li: 0.5000 0.7576 0.8415
Li: 0.5000 0.7424 0.3415
Li: 0.5000 0.2576 0.6585
Li: 0.5000 0.2424 0.1585

---

(6)
DFT (SCAN) results for Li2CuF5 at its PBEsol-relaxed geometry.

## Properties
Uncorrected formation energy, eV/atom: -2.350
Mass density, Mg/m³: 3.27

a = 5.2333 Å, b = 7.1466 Å, c = 9.3666 Å
α = 90.00°, β = 90.00°, γ = 90.00°
Atoms (fractional coordinates):
Li: 0.7500 0.9401 0.2745
Li: 0.7500 0.9207 0.5710
Li: 0.2500 0.5793 0.0710
Li: 0.2500 0.5599 0.7745
Li: 0.7500 0.4401 0.2255
Li: 0.7500 0.4207 0.9290
Li: 0.2500 0.0793 0.4290
Li: 0.2500 0.0599 0.7255
Cu: 0.7500 0.8206 0.9530
Cu: 0.2500 0.6794 0.4530
Cu: 0.7500 0.3206 0.5470
Cu: 0.2500 0.1794 0.0470
F: 0.0000 0.0000 0.0000
F: 0.5000 0.0000 0.0000
F: 0.7500 0.9064 0.7706
F: 0.5052 0.8652 0.4132
F: 0.9948 0.8652 0.4132
F: 0.2500 0.7611 0.6424
F: 0.7500 0.7389 0.1424
F: 0.4948 0.6348 0.9132
F: 0.0052 0.6348 0.9132
F: 0.2500 0.5936 0.2706
F: 0.0000 0.5000 0.5000
F: 0.5000 0.5000 0.5000
F: 0.7500 0.4064 0.7294
F: 0.9948 0.3652 0.0868
F: 0.5052 0.3652 0.0868
F: 0.2500 0.2611 0.8576
F: 0.7500 0.2389 0.3576
F: 0.4948 0.1348 0.5868
F: 0.0052 0.1348 0.5868
F: 0.2500 0.0936 0.2294

---

(7)
DFT (SCAN) results for LiCuF3 at its PBEsol-relaxed geometry.

## Properties
Uncorrected formation energy, eV/atom: -2.321
Mass density, Mg/m³: 4.00
E above lowest polymorph, eV/atom: 0.0083

a = 4.8811 Å, b = 5.1453 Å, c = 8.4306 Å
α = 89.99°, β = 89.99°, γ = 89.99°
Atoms (fractional coordinates):
Li: 0.5162 0.9874 0.3266
Li: 0.0264 0.0521 0.3266
Li: 0.4737 0.5516 0.8266
Li: 0.9839 0.4874 0.8266
Cu: 0.0015 0.9938 0.6494
Cu: 0.0017 0.9936 0.0038
Cu: 0.4983 0.4936 0.5038
Cu: 0.4984 0.4940 0.1494
F: 0.2337 0.8608 0.1653
F: 0.2336 0.8608 0.4880
F: 0.1935 0.8208 0.8266
F: 0.6921 0.6544 0.3266
F: 0.7278 0.6383 0.9883
F: 0.7277 0.6381 0.6648
F: 0.2663 0.3607 0.6653
F: 0.2664 0.3609 0.9880
F: 0.3065 0.3209 0.3266
F: 0.8079 0.1545 0.8266
F: 0.7721 0.1383 0.4883
F: 0.7723 0.1382 0.1648

---

(8)
DFT (SCAN) results for LiCuF3 at its PBEsol-relaxed geometry.

## Properties
Uncorrected formation energy, eV/atom: -2.330
Mass density, Mg/m³: 4.17
E above lowest polymorph, eV/atom: 0.0000

a = 5.0710 Å, b = 5.2127 Å, c = 7.7114 Å
α = 89.07°, β = 87.18°, γ = 86.12°
Atoms (fractional coordinates):
Li: 0.9933 0.0518 0.7304
Li: 0.4892 0.5357 0.7713
Li: 0.5108 0.4643 0.2287
Li: 0.0067 0.9482 0.2696
Cu: 0.0000 0.5000 0.5000
Cu: 0.0000 0.5000 0.0000
Cu: 0.5000 0.0000 0.5000
Cu: 0.5000 0.0000 0.0000
F: 0.8260 0.8215 0.9069
F: 0.8379 0.8331 0.5554
F: 0.8563 0.5975 0.2254
F: 0.6972 0.3417 0.5967
F: 0.6588 0.3104 0.9448
F: 0.6413 0.1016 0.2767
F: 0.3587 0.8984 0.7233
F: 0.3412 0.6896 0.0552
F: 0.3028 0.6583 0.4033
F: 0.1437 0.4025 0.7746
F: 0.1621 0.1669 0.4446
F: 0.1740 0.1785 0.0931

---

(9)
DFT (SCAN) results for Li2CuF at its PBEsol-relaxed geometry.

## Properties
Uncorrected formation energy, eV/atom: -0.746
Mass density, Mg/m³: 3.11

a = 4.1774 Å, b = 4.1774 Å, c = 4.1774 Å
α = 60.00°, β = 60.00°, γ = 60.00°
Atoms (fractional coordinates):
Li: 0.2500 0.2500 0.2500
Li: 0.7500 0.7500 0.7500
Cu: 0.5000 0.5000 0.5000
F: 0.0000 0.0000 0.0000

---

(10)
DFT (SCAN) results for LiCu2F5 at its PBEsol-relaxed geometry.

## Properties
Uncorrected formation energy, eV/atom: -2.090
Mass density, Mg/m³: 4.03
E above lowest polymorph, eV/atom: 0.0000

a = 3.9018 Å, b = 5.3633 Å, c = 9.6912 Å
α = 90.00°, β = 90.00°, γ = 111.33°
Atoms (fractional coordinates):
Li: 0.8073 0.6147 0.2500
Li: 0.1927 0.3853 0.7500
Cu: 0.8611 0.7222 0.5677
Cu: 0.8611 0.7222 0.9323
Cu: 0.1389 0.2778 0.4323
Cu: 0.1389 0.2778 0.0677
F: 0.9398 0.8796 0.3866
F: 0.9398 0.8796 0.1134
F: 0.6780 0.3559 0.4353
F: 0.6780 0.3559 0.0647
F: 0.7754 0.5508 0.7500
F: 0.2246 0.4492 0.2500
F: 0.3220 0.6441 0.9353
F: 0.3220 0.6441 0.5647
F: 0.0602 0.1204 0.6134
F: 0.0602 0.1204 0.8866

---

(11)
DFT (SCAN) results for Li2Cu2F7 at its PBEsol-relaxed geometry.

## Properties
Uncorrected formation energy, eV/atom: -2.182
Mass density, Mg/m³: 3.56
E above lowest polymorph, eV/atom: 0.0304

a = 3.8625 Å, b = 5.1754 Å, c = 12.9283 Å
α = 90.00°, β = 98.59°, γ = 90.00°
Atoms (fractional coordinates):
Li: 0.5784 0.5712 0.1568
Li: 0.7314 0.0360 0.4628
Li: 0.2686 0.5360 0.5372
Li: 0.4216 0.0712 0.8432
Cu: 0.9488 0.4735 0.8976
Cu: 0.8408 0.9508 0.6816
Cu: 0.1592 0.4508 0.3184
Cu: 0.0512 0.9735 0.1024
F: 0.9842 0.8018 0.9685
F: 0.9064 0.1541 0.8127
F: 0.8852 0.6615 0.7703
F: 0.7960 0.2345 0.5919
F: 0.6508 0.4582 0.3016
F: 0.5529 0.9265 0.1059
F: 0.7799 0.7419 0.5598
F: 0.2201 0.2419 0.4402
F: 0.4471 0.4265 0.8941
F: 0.3492 0.9582 0.6984
F: 0.2040 0.7345 0.4081
F: 0.0936 0.6541 0.1873
F: 0.1148 0.1615 0.2297
F: 0.0158 0.3018 0.0315

---

(12)
DFT (SCAN) results for Li2Cu2F7 at its PBEsol-relaxed geometry.

## Properties
Uncorrected formation energy, eV/atom: -2.213
Mass density, Mg/m³: 3.47
E above lowest polymorph, eV/atom: 0.0000

a = 5.2423 Å, b = 6.4018 Å, c = 8.5313 Å
α = 73.26°, β = 72.97°, γ = 84.34°
Atoms (fractional coordinates):
Li: 0.0997 0.4180 0.2770
Li: 0.5565 0.2379 0.3558
Li: 0.4435 0.7621 0.6442
Li: 0.9003 0.5820 0.7230
Cu: 0.2968 0.0055 0.1742
Cu: 0.7786 0.7887 0.2971
Cu: 0.2214 0.2113 0.7029
Cu: 0.7032 0.9945 0.8258
F: 0.4004 0.2767 0.1656
F: 0.1544 0.7337 0.1936
F: 0.6735 0.9046 0.0832
F: 0.9188 0.0815 0.2607
F: 0.7378 0.4981 0.2969
F: 0.1914 0.2993 0.4778
F: 0.4258 0.8868 0.3937
F: 0.5742 0.1132 0.6063
F: 0.8086 0.7007 0.5222
F: 0.2622 0.5019 0.7031
F: 0.0812 0.9185 0.7393
F: 0.3265 0.0954 0.9168
F: 0.8456 0.2663 0.8064
F: 0.5996 0.7233 0.8344

---

Look up the mass density of the seventh one. 4.00 Mg/m³

---

The lowest uncorrected formation energy belongs to which entry? Li5CuF8

---

Look up the mass density of the second one. 3.26 Mg/m³

---

Copy entry 4 word for word.
DFT (SCAN) results for LiCu3F7 at its PBEsol-relaxed geometry.

## Properties
Uncorrected formation energy, eV/atom: -2.012
Mass density, Mg/m³: 4.38

a = 6.8420 Å, b = 6.8219 Å, c = 6.8219 Å
α = 116.09°, β = 114.20°, γ = 65.80°
Atoms (fractional coordinates):
Li: 0.0000 0.5000 0.5000
Li: 0.5000 0.5000 0.5000
Cu: 0.0000 0.5000 0.0000
Cu: 0.5000 0.5000 0.0000
Cu: 0.0000 0.0000 0.0000
Cu: 0.5000 0.0000 0.0000
Cu: 0.0000 0.0000 0.5000
Cu: 0.5000 0.0000 0.5000
F: 0.3073 0.3557 0.9988
F: 0.0077 0.3075 0.1366
F: 0.0942 0.6827 0.4044
F: 0.5077 0.8634 0.6925
F: 0.7500 0.1060 0.1060
F: 0.5942 0.5956 0.3173
F: 0.8073 0.0012 0.6443
F: 0.1927 0.9988 0.3557
F: 0.4058 0.4044 0.6827
F: 0.2500 0.8940 0.8940
F: 0.4923 0.1366 0.3075
F: 0.9058 0.3173 0.5956
F: 0.9923 0.6925 0.8634
F: 0.6927 0.6443 0.0012